! TiMo2O2, relaxed, DFT PBE+U; values from VASP
&SYSTEM
  ibrav = 0, nat = 5, ntyp = 3
/
ATOMIC_SPECIES
Ti 47.87 Ti.upf
Mo 95.94 Mo.upf
O 16.00 O.upf
CELL_PARAMETERS angstrom
-1.862 1.862 4.964
1.862 -1.862 4.964
1.862 1.862 -4.964
ATOMIC_POSITIONS crystal
Ti 0.000 0.000 0.000
Mo 0.250 0.750 0.500
Mo 0.750 0.250 0.500
O 0.371 0.371 0.000
O 0.629 0.629 0.000
! magnetization: 1.58 μB/f.u.
! ΔE to the lowest computed polymorph: 5.40 eV/f.u.
! ρ: 6.55 g/cm3